Run A
A geometry-optimized Al3CuIr structure. Source: the Alexandria database, functional PBE.

Results
The space-group type is No. 221. For the density of states at the Fermi level, the calculation gives 1.408 states/eV/f.u.

Cell lengths 4.7111, 4.7111, 4.7111 Å; angles 90.00, 90.00, 90.00 degrees
Last column: nearest neighbours and their distance in Å.
Fractional positions:
Al 0.0000 0.0000 0.5000  2 Ir 2.36
Al 0.0000 0.5000 0.0000  2 Ir 2.36
Al 0.5000 0.0000 0.0000  2 Ir 2.36
Cu 0.5000 0.5000 0.5000  12 Al 3.33
Ir 0.0000 0.0000 0.0000  6 Al 2.36

=====

Run B
A geometry-optimized Al3CuIr structure. Source: the Alexandria database, functional PBE.

Results
The space-group type is No. 74. For the density of states at the Fermi level, the calculation gives 1.460 states/eV/f.u.

Cell lengths 8.8651, 8.8651, 8.8651 Å; angles 152.45, 97.87, 88.65 degrees
Last column: nearest neighbours and their distance in Å.
Fractional positions:
Al 0.0351 0.6540 0.3811  4 Cu 2.50-2.74, 3 Ir 2.53-2.63
Al 0.1204 0.0038 0.1165  2 Ir 2.51-2.58, 3 Cu 2.62-2.66, 1 Al 2.72
Al 0.2270 0.3460 0.8811  4 Cu 2.50-2.74, 3 Ir 2.53-2.63
Al 0.2838 0.6590 0.6247  1 Cu 2.47, 3 Ir 2.57-2.62
Al 0.3873 0.0038 0.3835  2 Ir 2.51-2.58, 3 Cu 2.62-2.66, 1 Al 2.72
Al 0.4657 0.3410 0.1247  1 Cu 2.47, 3 Ir 2.57-2.62
Al 0.5343 0.6590 0.8753  1 Cu 2.47, 3 Ir 2.57-2.62
Al 0.6127 0.9962 0.6165  2 Ir 2.51-2.58, 3 Cu 2.62-2.66, 1 Al 2.72
Al 0.7162 0.3410 0.3753  1 Cu 2.47, 3 Ir 2.57-2.62
Al 0.7730 0.6540 0.1189  4 Cu 2.50-2.74, 3 Ir 2.53-2.63
Al 0.8796 0.9962 0.8835  2 Ir 2.51-2.58, 3 Cu 2.62-2.66, 1 Al 2.72
Al 0.9649 0.3460 0.6189  4 Cu 2.50-2.74, 3 Ir 2.53-2.63
Cu 0.0835 0.8335 0.2500  8 Al 2.61-2.74, 2 Ir 2.90
Cu 0.2522 0.5022 0.7500  8 Al 2.47-2.62
Cu 0.7478 0.4978 0.2500  8 Al 2.47-2.62
Cu 0.9165 0.1665 0.7500  8 Al 2.61-2.74, 2 Ir 2.90
Ir 0.1690 0.1697 0.9993  8 Al 2.51-2.63
Ir 0.3296 0.8303 0.4993  8 Al 2.51-2.63
Ir 0.6704 0.1697 0.5007  8 Al 2.51-2.63
Ir 0.8310 0.8303 0.0007  8 Al 2.51-2.63

=====

Going by the energies, run B is most stable and the next is 540 meV/atom up.

=====

Run A
A geometry-optimized AlCu2Ir2 structure. Source: the Alexandria database, functional PBE.

Results
The space-group type is No. 139. For the density of states at the Fermi level, the calculation gives 5.347 states/eV/f.u.

Cell lengths 7.3191, 7.3191, 7.3191 Å; angles 154.79, 154.79, 35.95 degrees
Last column: nearest neighbours and their distance in Å.
Fractional positions:
Al 0.0000 0.0000 0.0000  8 Ir 2.65
Cu 0.2500 0.7500 0.5000  4 Cu 2.26
Cu 0.7500 0.2500 0.5000  4 Cu 2.26
Ir 0.4007 0.4007 0.0000  4 Cu 2.64, 4 Al 2.65, 1 Ir 2.76
Ir 0.5993 0.5993 0.0000  4 Cu 2.64, 4 Al 2.65, 1 Ir 2.76

=====

Run B
A geometry-optimized AlCu2Ir2 structure. Source: the Alexandria database, functional PBE.

Results
The space-group type is No. 127. For the density of states at the Fermi level, the calculation gives 4.883 states/eV/f.u.

Cell lengths 6.3339, 6.3339, 3.7077 Å; angles 90.00, 90.00, 90.00 degrees
Last column: nearest neighbours and their distance in Å.
Fractional positions:
Al 0.0000 0.0000 0.0000  4 Ir 2.44
Al 0.5000 0.5000 0.0000  4 Ir 2.44
Cu 0.1605 0.3395 0.5000  6 Ir 2.57-2.66, 1 Cu 2.88
Cu 0.3395 0.8395 0.5000  6 Ir 2.57-2.66, 1 Cu 2.88
Cu 0.6605 0.1605 0.5000  6 Ir 2.57-2.66, 1 Cu 2.88
Cu 0.8395 0.6605 0.5000  6 Ir 2.57-2.66, 1 Cu 2.88
Ir 0.1405 0.6405 0.0000  2 Al 2.44, 1 Ir 2.52, 6 Cu 2.57-2.66
Ir 0.3595 0.1405 0.0000  2 Al 2.44, 1 Ir 2.52, 6 Cu 2.57-2.66
Ir 0.6405 0.8595 0.0000  2 Al 2.44, 1 Ir 2.52, 6 Cu 2.57-2.66
Ir 0.8595 0.3595 0.0000  2 Al 2.44, 1 Ir 2.52, 6 Cu 2.57-2.66

=====

Going by the energies, run B is most stable and the next is 60 meV/atom up.

=====

Run A
A geometry-optimized KAl2Cu2 structure. Source: the Alexandria database, functional PBE.

Results
The space-group type is No. 127. For the density of states at the Fermi level, the calculation gives 1.658 states/eV/f.u.

Cell lengths 8.1285, 8.1285, 2.6502 Å; angles 90.00, 90.00, 90.00 degrees
Last column: nearest neighbours and their distance in Å.
Fractional positions:
K 0.0000 0.0000 0.0000  2 K 2.65
K 0.5000 0.5000 0.0000  2 K 2.65
Al 0.1301 0.3699 0.5000  2 Al 2.65, 6 Cu 2.68-2.80
Al 0.3699 0.8699 0.5000  2 Al 2.65, 6 Cu 2.68-2.80
Al 0.6301 0.1301 0.5000  2 Al 2.65, 6 Cu 2.68-2.80
Al 0.8699 0.6301 0.5000  2 Al 2.65, 6 Cu 2.68-2.80
Cu 0.1552 0.6552 0.0000  2 Cu 2.65, 6 Al 2.68-2.80
Cu 0.3448 0.1552 0.0000  2 Cu 2.65, 6 Al 2.68-2.80
Cu 0.6552 0.8448 0.0000  2 Cu 2.65, 6 Al 2.68-2.80
Cu 0.8448 0.3448 0.0000  2 Cu 2.65, 6 Al 2.68-2.80

=====

Run B
A geometry-optimized KAl2Cu2 structure. Source: the Alexandria database, functional PBE.

Results
The space-group type is No. 139. For the density of states at the Fermi level, the calculation gives 3.028 states/eV/f.u.

Cell lengths 6.5221, 6.5221, 6.5221 Å; angles 142.31, 142.31, 54.36 degrees
Last column: nearest neighbours and their distance in Å.
Fractional positions:
K 0.0000 0.0000 0.0000  8 Cu 3.34, 8 Al 3.59
Al 0.2500 0.7500 0.5000  4 Cu 2.52
Al 0.7500 0.2500 0.5000  4 Cu 2.52
Cu 0.3694 0.3694 0.0000  4 Al 2.52
Cu 0.6306 0.6306 0.0000  4 Al 2.52

=====

Going by the energies, run A is most stable and the next is 56 meV/atom up.

=====

Run A
A geometry-optimized La3AlCu structure. Source: the Alexandria database, functional PBE.

Results
The space-group type is No. 221. For the density of states at the Fermi level, the calculation gives 11.531 states/eV/f.u.

Cell lengths 5.5122, 5.5122, 5.5122 Å; angles 90.00, 90.00, 90.00 degrees
Last column: nearest neighbours and their distance in Å.
Fractional positions:
La 0.0000 0.0000 0.5000  2 Cu 2.76
La 0.0000 0.5000 0.0000  2 Cu 2.76
La 0.5000 0.0000 0.0000  2 Cu 2.76
Al 0.5000 0.5000 0.5000  12 La 3.90
Cu 0.0000 0.0000 0.0000  6 La 2.76

=====

Run B
A geometry-optimized La3AlCu structure. Source: the Alexandria database, functional PBE.

Results
The space-group type is No. 12. For the density of states at the Fermi level, the calculation gives 4.671 states/eV/f.u.

Cell lengths 6.4241, 6.4241, 9.7548 Å; angles 101.66, 101.66, 45.87 degrees
Last column: nearest neighbours and their distance in Å.
Fractional positions:
La 0.0404 0.0404 0.3305  1 Cu 2.89
La 0.2684 0.2684 0.6936  3 Al 3.19-3.28, 2 La 3.42, 2 Cu 3.55
La 0.3742 0.3742 0.0837  3 Cu 2.91-3.13
La 0.6258 0.6258 0.9163  3 Cu 2.91-3.13
La 0.7316 0.7316 0.3064  3 Al 3.19-3.28, 2 La 3.42, 2 Cu 3.55
La 0.9596 0.9596 0.6695  1 Cu 2.89
Al 0.3914 0.3914 0.4229  1 Al 2.68
Al 0.6086 0.6086 0.5771  1 Al 2.68
Cu 0.1063 0.1063 0.0621  1 Cu 2.54
Cu 0.8937 0.8937 0.9379  1 Cu 2.54

=====

Going by the energies, run B is most stable and the next is 358 meV/atom up.

=====

Run A
A geometry-optimized La2AlCu3 structure. Source: the Alexandria database, functional PBE.

Results
The space-group type is No. 69. For the density of states at the Fermi level, the calculation gives 4.885 states/eV/f.u.

Cell lengths 8.8405, 8.6241, 5.8863 Å; angles 72.30, 68.33, 39.37 degrees
Last column: nearest neighbours and their distance in Å.
Fractional positions:
La 0.2372 0.7628 0.7628  10 Cu 3.16-3.25, 2 Al 3.27
La 0.2500 0.2500 0.2500  8 Cu 3.20-3.23, 4 Al 3.22
La 0.7500 0.7500 0.7500  8 Cu 3.20-3.23, 4 Al 3.22
La 0.7628 0.2372 0.2372  10 Cu 3.16-3.25, 2 Al 3.27
Al 0.3352 0.3352 0.6648  3 Cu 2.51-2.56
Al 0.6648 0.6648 0.3352  3 Cu 2.51-2.56
Cu 0.1687 0.1687 0.8313  1 Al 2.56, 2 Cu 2.58
Cu 0.1701 0.6645 0.3355  1 Al 2.51, 2 Cu 2.54-2.58
Cu 0.3355 0.8299 0.1701  1 Al 2.51, 2 Cu 2.54-2.58
Cu 0.6645 0.1701 0.8299  1 Al 2.51, 2 Cu 2.54-2.58
Cu 0.8299 0.3355 0.6645  1 Al 2.51, 2 Cu 2.54-2.58
Cu 0.8313 0.8313 0.1687  1 Al 2.56, 2 Cu 2.58

=====

Run B
A geometry-optimized La2AlCu3 structure. Source: the Alexandria database, functional PBE.

Results
The space-group type is No. 194. For the density of states at the Fermi level, the calculation gives 3.260 states/eV/f.u.

Cell lengths 5.6459, 5.6459, 8.5295 Å; angles 90.00, 90.00, 120.00 degrees
Last column: nearest neighbours and their distance in Å.
Fractional positions:
La 0.3333 0.6667 0.0466  9 Cu 3.05-3.31, 3 Al 3.28, 3 La 3.36
La 0.3333 0.6667 0.4534  9 Cu 3.05-3.31, 3 Al 3.28, 3 La 3.36
La 0.6667 0.3333 0.5466  9 Cu 3.05-3.31, 3 Al 3.28, 3 La 3.36
La 0.6667 0.3333 0.9534  9 Cu 3.05-3.31, 3 Al 3.28, 3 La 3.36
Al 0.0000 0.0000 0.0000  6 Cu 2.63
Al 0.0000 0.0000 0.5000  6 Cu 2.63
Cu 0.1583 0.3166 0.7500  2 Al 2.63, 2 Cu 2.68
Cu 0.1583 0.8417 0.7500  2 Al 2.63, 2 Cu 2.68
Cu 0.3166 0.1583 0.2500  2 Al 2.63, 2 Cu 2.68
Cu 0.6834 0.8417 0.7500  2 Al 2.63, 2 Cu 2.68
Cu 0.8417 0.1583 0.2500  2 Al 2.63, 2 Cu 2.68
Cu 0.8417 0.6834 0.2500  2 Al 2.63, 2 Cu 2.68

=====

Going by the energies, run B is most stable and the next is 29 meV/atom up.

=====

Run A
A geometry-optimized La3Al3Cu2 structure. Source: the Alexandria database, functional PBE.

Results
The space-group type is No. 62. For the density of states at the Fermi level, the calculation gives 6.088 states/eV/f.u.

Cell lengths 8.5051, 15.4763, 5.6799 Å; angles 90.00, 90.00, 90.00 degrees
Last column: nearest neighbours and their distance in Å.
Fractional positions:
La 0.0461 0.1115 0.1122  3 Cu 3.05-3.30, 6 Al 3.20-3.36
La 0.0461 0.3885 0.1122  3 Cu 3.05-3.30, 6 Al 3.20-3.36
La 0.1979 0.2500 0.5739  5 Al 3.05-3.36, 2 Cu 3.35
La 0.3021 0.7500 0.0739  5 Al 3.05-3.36, 2 Cu 3.35
La 0.4539 0.6115 0.6122  3 Cu 3.05-3.30, 6 Al 3.20-3.36
La 0.4539 0.8885 0.6122  3 Cu 3.05-3.30, 6 Al 3.20-3.36
La 0.5461 0.1115 0.3878  3 Cu 3.05-3.30, 6 Al 3.20-3.36
La 0.5461 0.3885 0.3878  3 Cu 3.05-3.30, 6 Al 3.20-3.36
La 0.6979 0.2500 0.9261  5 Al 3.05-3.36, 2 Cu 3.35
La 0.8021 0.7500 0.4261  5 Al 3.05-3.36, 2 Cu 3.35
La 0.9539 0.6115 0.8878  3 Cu 3.05-3.30, 6 Al 3.20-3.36
La 0.9539 0.8885 0.8878  3 Cu 3.05-3.30, 6 Al 3.20-3.36
Al 0.1540 0.7500 0.5627  2 Cu 2.58
Al 0.1855 0.0334 0.6144  3 Cu 2.57-2.64
Al 0.1855 0.4666 0.6144  3 Cu 2.57-2.64
Al 0.3145 0.5334 0.1144  3 Cu 2.57-2.64
Al 0.3145 0.9666 0.1144  3 Cu 2.57-2.64
Al 0.3460 0.2500 0.0627  2 Cu 2.58
Al 0.6540 0.7500 0.9373  2 Cu 2.58
Al 0.6855 0.0334 0.8856  3 Cu 2.57-2.64
Al 0.6855 0.4666 0.8856  3 Cu 2.57-2.64
Al 0.8145 0.5334 0.3856  3 Cu 2.57-2.64
Al 0.8145 0.9666 0.3856  3 Cu 2.57-2.64
Al 0.8460 0.2500 0.4373  2 Cu 2.58
Cu 0.1002 0.6006 0.3764  4 Al 2.57-2.64
Cu 0.1002 0.8994 0.3764  4 Al 2.57-2.64
Cu 0.3998 0.1006 0.8764  4 Al 2.57-2.64
Cu 0.3998 0.3994 0.8764  4 Al 2.57-2.64
Cu 0.6002 0.6006 0.1236  4 Al 2.57-2.64
Cu 0.6002 0.8994 0.1236  4 Al 2.57-2.64
Cu 0.8998 0.1006 0.6236  4 Al 2.57-2.64
Cu 0.8998 0.3994 0.6236  4 Al 2.57-2.64

=====

Run B
A geometry-optimized La3Al3Cu2 structure. Source: the Alexandria database, functional PBE.

Results
The space-group type is No. 63. For the density of states at the Fermi level, the calculation gives 7.068 states/eV/f.u.

Cell lengths 5.7237, 5.7237, 15.2333 Å; angles 90.00, 90.00, 131.88 degrees
Last column: nearest neighbours and their distance in Å.
Fractional positions:
La 0.0921 0.9079 0.7500  5 Al 3.11-3.31
La 0.4028 0.5972 0.6125  4 Cu 3.11-3.32, 7 Al 3.18-3.48
La 0.4028 0.5972 0.8875  4 Cu 3.11-3.32, 7 Al 3.18-3.48
La 0.5972 0.4028 0.1125  4 Cu 3.11-3.32, 7 Al 3.18-3.48
La 0.5972 0.4028 0.3875  4 Cu 3.11-3.32, 7 Al 3.18-3.48
La 0.9079 0.0921 0.2500  5 Al 3.11-3.31
Al 0.1212 0.8788 0.5335  3 Cu 2.64-2.70, 1 Al 2.73
Al 0.1212 0.8788 0.9665  3 Cu 2.64-2.70, 1 Al 2.73
Al 0.2106 0.7894 0.2500  2 Cu 2.56
Al 0.7894 0.2106 0.7500  2 Cu 2.56
Al 0.8788 0.1212 0.0335  3 Cu 2.64-2.70, 1 Al 2.73
Al 0.8788 0.1212 0.4665  3 Cu 2.64-2.70, 1 Al 2.73
Cu 0.3010 0.6990 0.0939  4 Al 2.56-2.70
Cu 0.3010 0.6990 0.4061  4 Al 2.56-2.70
Cu 0.6990 0.3010 0.5939  4 Al 2.56-2.70
Cu 0.6990 0.3010 0.9061  4 Al 2.56-2.70

=====

Going by the energies, run B is most stable and the next is 16 meV/atom up.